Record 1
The following is a DFT calculation (PBE) of a geometry-optimized YHf2Zn structure.

a b c (Å): 11.0266 11.0266 11.0266
angles (deg): 158.05 158.05 31.24
Sites, in units of the cell vectors:
Y 0.0000 0.0000 0.0000
Y 0.7500 0.2500 0.5000
Hf 0.1354 0.6250 0.0104
Hf 0.3750 0.3854 0.5104
Hf 0.6146 0.1250 0.9896
Hf 0.8750 0.8646 0.4896
Zn 0.2500 0.7500 0.5000
Zn 0.5000 0.5000 0.0000

- SG = I-42d (122)
- D(E_F) (states/eV per cell) = 12.209
- electronic total energy (eV/cell) = -52.43



Record 2
The following is a DFT calculation (PBE) of a geometry-optimized YHf2Zn2 structure.

a b c (Å): 6.7451 6.7451 6.7451
angles (deg): 143.15 143.15 53.10
Sites, in units of the cell vectors:
Y 0.0000 0.0000 0.0000
Hf 0.2500 0.7500 0.5000
Hf 0.7500 0.2500 0.5000
Zn 0.4005 0.4005 0.0000
Zn 0.5995 0.5995 0.0000

- SG = I4/mmm (139)
- D(E_F) (states/eV per cell) = 5.287
- electronic total energy (eV/cell) = -29.24
- offset from the most stable computed form (eV/atom) = 0.016



Record 3
The following is a DFT calculation (PBE) of a geometry-optimized YHfZr structure.

a b c (Å): 8.2344 8.2344 8.2344
angles (deg): 23.28 23.28 23.28
Sites, in units of the cell vectors:
Y 0.0000 0.0000 0.0000
Hf 0.2186 0.2186 0.2186
Zr 0.7847 0.7847 0.7847

- SG = R3m (160)
- D(E_F) (states/eV per cell) = 4.245
- electronic total energy (eV/cell) = -24.63
- offset from the most stable computed form (eV/atom) = 0.000



Record 4
The following is a DFT calculation (PBE) of a geometry-optimized Y3Hf12Zr5 structure.

a b c (Å): 14.5903 14.5903 14.5903
angles (deg): 109.47 109.47 109.47
Sites, in units of the cell vectors:
Y 0.1250 0.2500 0.3750
Y 0.1250 0.3750 0.7500
Y 0.2500 0.3750 0.1250
Y 0.2500 0.8750 0.6250
Y 0.3750 0.1250 0.2500
Y 0.3750 0.7500 0.1250
Y 0.6250 0.2500 0.8750
Y 0.6250 0.8750 0.7500
Y 0.7500 0.1250 0.3750
Y 0.7500 0.6250 0.8750
Y 0.8750 0.6250 0.2500
Y 0.8750 0.7500 0.6250
Hf 0.0568 0.1626 0.9262
Hf 0.0568 0.3941 0.1305
Hf 0.0738 0.6305 0.2364
Hf 0.0738 0.9432 0.8374
Hf 0.1059 0.1626 0.7364
Hf 0.1059 0.4432 0.3695
Hf 0.1305 0.0568 0.3941
Hf 0.1305 0.5738 0.7364
Hf 0.1626 0.7364 0.1059
Hf 0.1626 0.9262 0.0568
Hf 0.2364 0.0738 0.6305
Hf 0.2364 0.6626 0.6059
Hf 0.2636 0.8695 0.4262
Hf 0.2636 0.8941 0.8374
Hf 0.3374 0.3941 0.7636
Hf 0.3374 0.4432 0.5738
Hf 0.3695 0.1059 0.4432
Hf 0.3695 0.7636 0.9262
Hf 0.3941 0.1305 0.0568
Hf 0.3941 0.7636 0.3374
Hf 0.4262 0.2636 0.8695
Hf 0.4262 0.6626 0.5568
Hf 0.4432 0.3695 0.1059
Hf 0.4432 0.5738 0.3374
Hf 0.5568 0.4262 0.6626
Hf 0.5568 0.6305 0.8941
Hf 0.5738 0.3374 0.4432
Hf 0.5738 0.7364 0.1305
Hf 0.6059 0.2364 0.6626
Hf 0.6059 0.8695 0.9432
Hf 0.6305 0.2364 0.0738
Hf 0.6305 0.8941 0.5568
Hf 0.6626 0.5568 0.4262
Hf 0.6626 0.6059 0.2364
Hf 0.7364 0.1059 0.1626
Hf 0.7364 0.1305 0.5738
Hf 0.7636 0.3374 0.3941
Hf 0.7636 0.9262 0.3695
Hf 0.8374 0.0738 0.9432
Hf 0.8374 0.2636 0.8941
Hf 0.8695 0.4262 0.2636
Hf 0.8695 0.9432 0.6059
Hf 0.8941 0.5568 0.6305
Hf 0.8941 0.8374 0.2636
Hf 0.9262 0.0568 0.1626
Hf 0.9262 0.3695 0.7636
Hf 0.9432 0.6059 0.8695
Hf 0.9432 0.8374 0.0738
Zr 0.0000 0.0000 0.0000
Zr 0.0000 0.0000 0.5000
Zr 0.0000 0.5000 0.0000
Zr 0.0000 0.5000 0.5000
Zr 0.1250 0.7500 0.8750
Zr 0.1250 0.8750 0.2500
Zr 0.2500 0.1250 0.8750
Zr 0.2500 0.6250 0.3750
Zr 0.3750 0.2500 0.6250
Zr 0.3750 0.6250 0.7500
Zr 0.5000 0.0000 0.0000
Zr 0.5000 0.0000 0.5000
Zr 0.5000 0.5000 0.0000
Zr 0.5000 0.5000 0.5000
Zr 0.6250 0.3750 0.2500
Zr 0.6250 0.7500 0.3750
Zr 0.7500 0.3750 0.6250
Zr 0.7500 0.8750 0.1250
Zr 0.8750 0.1250 0.7500
Zr 0.8750 0.2500 0.1250

- SG = Ia-3d (230)
- D(E_F) (states/eV per cell) = 116.501
- electronic total energy (eV/cell) = -635.37



Record 5
The following is a DFT calculation (PBE) of a geometry-optimized YHfZr structure.

a b c (Å): 7.8705 7.8705 7.8705
angles (deg): 156.54 156.54 33.41
Sites, in units of the cell vectors:
Y 0.0000 0.0000 0.0000
Hf 0.6746 0.6746 0.0000
Zr 0.3154 0.3154 0.0000

- SG = I4mm (107)
- D(E_F) (states/eV per cell) = 3.768
- electronic total energy (eV/cell) = -24.62
- offset from the most stable computed form (eV/atom) = 0.000



Record 6
The following is a DFT calculation (PBE) of a geometry-optimized YHfZr structure.

a b c (Å): 3.2834 3.2834 8.1396
angles (deg): 90.00 90.00 120.00
Sites, in units of the cell vectors:
Y 0.0000 0.0000 0.0000
Hf 0.6667 0.3333 0.3446
Zr 0.3333 0.6667 0.6476

- SG = P3m1 (156)
- D(E_F) (states/eV per cell) = 5.129
- electronic total energy (eV/cell) = -24.53
- offset from the most stable computed form (eV/atom) = 0.032